1.
The following is a PBE-GGA calculation of crystalline Ge2SbIr at its relaxed geometry, from the Alexandria database.

Cell: 5.9373 5.9373 7.2066 Å, 65.67 65.67 90.00°
Last column: nearest neighbours and their distance in Å.
Atoms (fractional coordinates):
Sb 0.5000 0.5000 0.0000  4 Ge 2.75
Sb 0.2500 0.7500 0.5000  4 Ge 2.75
Ge 0.6782 0.1250 0.2500  2 Ir 2.39
Ge 0.0718 0.6250 0.2500  2 Ir 2.39
Ge 0.3750 0.3218 0.7500  2 Ir 2.39
Ge 0.8750 0.9282 0.7500  2 Ir 2.39
Ir 0.0000 0.0000 0.0000  4 Ge 2.39
Ir 0.7500 0.2500 0.5000  4 Ge 2.39

The value obtained for the mass density is 7.39 Mg/m³. For the uncorrected formation energy, the calculation gives 0.1508 eV/atom. Its density of states at the Fermi level is 0.72 states/eV/atom.



2.
The following is a PBE-GGA calculation of crystalline GeSbIr at its relaxed geometry, from the Alexandria database.

Cell: 4.4168 4.4168 4.4168 Å, 60.00 60.00 60.00°
Last column: nearest neighbours and their distance in Å.
Atoms (fractional coordinates):
Sb 0.0000 0.0000 0.0000  4 Ir 2.70
Ge 0.5000 0.5000 0.5000  4 Ir 2.70
Ir 0.2500 0.2500 0.2500  4 Ge 2.70, 4 Sb 2.70

The value obtained for the mass density is 10.54 Mg/m³. For the uncorrected formation energy, the calculation gives -0.1814 eV/atom. Its density of states at the Fermi level is 0.81 states/eV/atom. The excess energy over the best structure of this formula in the dataset comes out at 116 meV/atom.



3.
The following is a PBE-GGA calculation of crystalline GeSbIr at its relaxed geometry, from the Alexandria database.

Cell: 5.4806 6.3766 7.5153 Å, 97.39 90.00 90.00°
Last column: nearest neighbours and their distance in Å.
Atoms (fractional coordinates):
Ir 0.4878 0.2164 0.6143  3 Ge 2.40-2.44
Ir 0.9878 0.7836 0.8857  3 Ge 2.40-2.44
Ir 0.5122 0.7836 0.3857  3 Ge 2.40-2.44
Ir 0.0122 0.2164 0.1143  3 Ge 2.40-2.44
Ge 0.7221 0.9055 0.6664  3 Ir 2.40-2.44
Ge 0.7779 0.9055 0.1664  3 Ir 2.40-2.44
Ge 0.2779 0.0945 0.3336  3 Ir 2.40-2.44
Ge 0.2221 0.0945 0.8336  3 Ir 2.40-2.44
Sb 0.2814 0.5719 0.0997  3 Ir 2.70-2.75, 1 Sb 2.91
Sb 0.2186 0.5719 0.5997  3 Ir 2.70-2.75, 1 Sb 2.91
Sb 0.7186 0.4281 0.9003  3 Ir 2.70-2.75, 1 Sb 2.91
Sb 0.7814 0.4281 0.4003  3 Ir 2.70-2.75, 1 Sb 2.91

The value obtained for the mass density is 9.86 Mg/m³. For the uncorrected formation energy, the calculation gives -0.2979 eV/atom. Its density of states at the Fermi level is 0.12 states/eV/atom. The excess energy over the best structure of this formula in the dataset comes out at 0 meV/atom.



4.
The following is a PBE-GGA calculation of crystalline GeSbIr at its relaxed geometry, from the Alexandria database.

Cell: 6.3957 6.5172 6.5136 Å, 114.32 90.00 90.00°
Last column: nearest neighbours and their distance in Å.
Atoms (fractional coordinates):
Ge 0.6496 0.8223 0.6452  3 Ir 2.47-2.50
Ge 0.3504 0.1777 0.3548  3 Ir 2.47-2.50
Ge 0.1496 0.6777 0.3548  3 Ir 2.47-2.50
Ge 0.8504 0.3223 0.6452  3 Ir 2.47-2.50
Sb 0.6197 0.3670 0.1459  3 Ir 2.66-2.72, 1 Ge 2.78
Sb 0.3803 0.6330 0.8541  3 Ir 2.66-2.72, 1 Ge 2.78
Sb 0.8803 0.8670 0.1459  3 Ir 2.66-2.72, 1 Ge 2.78
Sb 0.1197 0.1330 0.8541  3 Ir 2.66-2.72, 1 Ge 2.78
Ir 0.0037 0.3022 0.2838  3 Ge 2.47-2.50, 3 Sb 2.66-2.72
Ir 0.4963 0.8022 0.2838  3 Ge 2.47-2.50, 3 Sb 2.66-2.72
Ir 0.9963 0.6978 0.7162  3 Ge 2.47-2.50, 3 Sb 2.66-2.72
Ir 0.5037 0.1978 0.7162  3 Ge 2.47-2.50, 3 Sb 2.66-2.72

The value obtained for the mass density is 10.38 Mg/m³. For the uncorrected formation energy, the calculation gives -0.2811 eV/atom. Its density of states at the Fermi level is 0.45 states/eV/atom. The excess energy over the best structure of this formula in the dataset comes out at 17 meV/atom.